1.
The following is a PBE calculation of crystalline Y2Si3W2 at its relaxed geometry, from OQMD. Values from VASP.

```
&SYSTEM
  ibrav = 0, nat = 14, ntyp = 3
/
ATOMIC_SPECIES
Y 88.91 Y.upf
Si 28.09 Si.upf
W 183.84 W.upf
ATOMIC_POSITIONS crystal
Y 0.1174 0.0000 0.2743
Y 0.3826 0.5000 0.7257
Y 0.6173 0.5000 0.2743
Y 0.8826 0.0000 0.7257
Si 0.0000 0.5000 0.5000
Si 0.1698 0.0000 0.7043
Si 0.3302 0.5000 0.2957
Si 0.5000 0.0000 0.5000
Si 0.6698 0.5000 0.7043
Si 0.8302 0.0000 0.2957
W 0.1410 0.5000 0.9257
W 0.3590 0.0000 0.0743
W 0.6410 0.0000 0.9257
W 0.8590 0.5000 0.0743
CELL_PARAMETERS angstrom
10.9249 0.0000 0.0000
0.0000 3.6297 0.0000
-3.2033 0.0000 6.5299
```

***

2.
The following is a PBE calculation of crystalline YSiW at its relaxed geometry, from OQMD. Values from VASP.

```
&SYSTEM
  ibrav = 0, nat = 12, ntyp = 3
/
ATOMIC_SPECIES
Y 88.91 Y.upf
Si 28.09 Si.upf
W 183.84 W.upf
ATOMIC_POSITIONS crystal
Y 0.0000 0.0000 0.0000
Y 0.0000 0.5000 0.5000
Y 0.5000 0.0000 0.5000
Y 0.5000 0.5000 0.0000
Si 0.2500 0.2500 0.7500
Si 0.2500 0.7500 0.2500
Si 0.7500 0.2500 0.2500
Si 0.7500 0.7500 0.7500
W 0.0000 0.0000 0.5000
W 0.0000 0.5000 0.0000
W 0.5000 0.0000 0.0000
W 0.5000 0.5000 0.5000
CELL_PARAMETERS angstrom
6.2960 0.0000 0.0000
0.0000 6.2960 0.0000
0.0000 0.0000 6.2960
```

***

3.
The following is a PBE calculation of crystalline ZnSiW at its relaxed geometry, from OQMD. Values from VASP.

```
&SYSTEM
  ibrav = 0, nat = 12, ntyp = 3
/
ATOMIC_SPECIES
Zn 65.41 Zn.upf
Si 28.09 Si.upf
W 183.84 W.upf
ATOMIC_POSITIONS crystal
Zn 0.0000 0.0000 0.0000
Zn 0.0000 0.5000 0.5000
Zn 0.5000 0.0000 0.5000
Zn 0.5000 0.5000 0.0000
Si 0.2500 0.2500 0.7500
Si 0.2500 0.7500 0.2500
Si 0.7500 0.2500 0.2500
Si 0.7500 0.7500 0.7500
W 0.0000 0.0000 0.5000
W 0.0000 0.5000 0.0000
W 0.5000 0.0000 0.0000
W 0.5000 0.5000 0.5000
CELL_PARAMETERS angstrom
5.7920 0.0000 0.0000
0.0000 5.7920 0.0000
0.0000 0.0000 5.7920
```

***

| no. | volume (Å³/cell) | energy (eV per cell) |
| --- | --- | --- |
| 1 | 258.9 | -114.55 |
| 2 | 249.6 | -96.46 |
| 3 | 194.3 | -72.38 |